#P
The following is a DFT calculation (PBE with a Hubbard U) of an optimized crystal structure of TlCoClF2.

```
TlCoClF2
1.0
5.026 0.000 0.000
0.000 4.054 0.000
-1.013 0.000 9.779
Tl Co Cl F
2 2 2 4
Cartesian
0.569 1.014 3.659 Tl
3.444 3.041 6.121 Tl
1.435 1.014 8.501 Co
2.578 3.041 1.278 Co
-0.042 3.041 1.479 Cl
4.055 1.014 8.300 Cl
1.616 1.014 6.527 F
2.387 1.014 0.857 F
1.626 3.041 8.922 F
2.397 3.041 3.252 F
```

***

#Q
The following is a DFT calculation (PBE with a Hubbard U) of an optimized crystal structure of TlCoClF2.

```
TlCoClF2
1.0
4.247 0.000 0.000
0.000 4.247 0.000
0.000 0.000 4.987
Tl Co Cl F
1 1 1 2
Cartesian
0.000 0.000 0.000 Tl
2.123 2.123 2.494 Co
2.123 2.123 0.000 Cl
0.000 2.123 2.494 F
2.123 0.000 2.494 F
```

***

Pick the most stable structure from those above. Pick: #P